First-principles (PBE) data for crystalline Pa3HgN at its relaxed geometry, as listed in the Alexandria database.

- formation energy (no corrections) (eV/atom) = -0.527
- total DFT energy (no corrections) (eV per atom) = -7.950
- DOS at the Fermi energy (states/eV per cell) = 7.0

```
Pa3HgN
1.0
4.759 0.000 0.000
0.000 4.759 0.000
0.000 0.000 4.759
Pa Hg N
3 1 1
Cartesian
0.000 0.000 2.380
0.000 2.380 0.000
2.380 0.000 0.000
2.380 2.380 2.380
0.000 0.000 0.000
```

First-principles (PBE) data for crystalline InNiPS2 at its relaxed geometry, as listed in the Alexandria database.

- formation energy (no corrections) (eV/atom) = 1.228
- total DFT energy (no corrections) (eV per atom) = -3.209
- DOS at the Fermi energy (states/eV per cell) = 10.4
- relative energy among the computed polymorphs (eV per formula unit) = 4.80

```
InNiPS2
1.0
5.016 0.000 0.000
0.000 5.016 0.000
0.000 0.000 4.996
In Ni P S
1 1 1 2
Cartesian
0.000 0.000 0.000
2.508 2.508 2.498
0.000 0.000 2.498
0.000 2.508 0.000
2.508 0.000 0.000
```

First-principles (PBE) data for crystalline La2BeGaCo at its relaxed geometry, as listed in the Alexandria database.

- formation energy (eV/atom) = 0.513
- total DFT energy (no corrections) (eV per atom) = -4.230
- DOS at the Fermi energy (states/eV per cell) = 4.6

```
La2BeGaCo
1.0
5.713 0.000 0.000
0.000 5.713 0.000
0.000 0.000 4.043
La Be Ga Co
2 1 1 1
Cartesian
0.000 2.857 0.000
2.857 0.000 0.000
0.000 0.000 2.021
0.000 0.000 0.000
2.857 2.857 2.021
```

Among the records above, which one has the lowest DOS at the Fermi energy? La2BeGaCo

Look up the DOS at the Fermi energy of the first one. 7.0 states/eV per cell

Which formula does entry 1 have? Pa3HgN